DFT (PBE-GGA) results for a geometry-optimized PmAlIr structure.

Lattice parameters (Å, degrees): 6.696 6.696 6.696 90.00 90.00 90.00
Space group F-43m (No. 216)
Asymmetric unit:
Pm  0.000  0.000  0.000 [4 per cell]
Al  0.250  0.250  0.750 [4 per cell]
Ir  0.250  0.250  0.250 [4 per cell]

---

DFT (PBE-GGA) results for a geometry-optimized PrAlIr structure.

Lattice parameters (Å, degrees): 4.8800 4.8800 6.0509 90.00 90.00 120.00
Space group P6_3/mmc (No. 194)
Asymmetric unit:
Pr  0.3333  0.6667  0.2500 [2 per cell]
Al  0.3333  0.6667  0.7500 [2 per cell]
Ir  0.0000  0.0000  0.0000 [2 per cell]

---

Computed total DFT energy (no corrections) (eV per atom) in order:
-5.419 -5.843